# LiUF6

Crystalline LiUF6 at its relaxed geometry (PBE, Alexandria via LeMat-Bulk).

abc: 5.866 5.866 5.866
angles: 60.00 60.00 60.00
Sites, in units of the cell vectors:
Li1 0.000 0.000 0.000
U1 0.500 0.500 0.500
F1 0.248 0.248 0.752
F2 0.248 0.752 0.248
F3 0.248 0.752 0.752
F4 0.752 0.248 0.248
F5 0.752 0.248 0.752
F6 0.752 0.752 0.248

Summary:
Space-group type: Fm-3m (225)
Volume (Å³ per atom): 17.8
Offset from the most stable computed form (eV per atom): 0.000
Magnetization (Bohr magnetons per cell): 1.000